A plane-wave DFT calculation with meta-GGA SCAN was carried out for a PBEsol-optimized structure of LiTcPt3.

Values from the calculation:
Density of states at the Fermi level = 4.187 states/eV/cell
Total magnetization = 0.000 μB per atom

Unit cell a=4.751 b=4.751 c=4.751 alpha=90.00 beta=90.00 gamma=90.00
Space group Pm-3m (No. 221)
Asymmetric unit:
1 Li 0.000 0.000 0.000 (multiplicity 1)
2 Tc 0.500 0.500 0.500 (multiplicity 1)
3 Pt 0.000 0.500 0.500 (multiplicity 3)



A plane-wave DFT calculation with meta-GGA SCAN was carried out for a PBEsol-optimized structure of CuPd2Rh.

Values from the calculation:
Density of states at the Fermi level = 20.332 states/eV/cell
Total magnetization = 0.001 μB per atom

Unit cell a=6.035 b=6.035 c=6.035 alpha=90.00 beta=90.00 gamma=90.00
Space group Fm-3m (No. 225)
Asymmetric unit:
1 Cu 0.000 0.000 0.000 (multiplicity 4)
2 Pd 0.250 0.250 0.250 (multiplicity 8)
3 Rh 0.000 0.000 0.500 (multiplicity 4)



A plane-wave DFT calculation with meta-GGA SCAN was carried out for a PBEsol-optimized structure of Sr2LiCu2.

Values from the calculation:
Energy above the lowest structure with this stoichiometry = 0.71 eV per formula unit
Density of states at the Fermi level = 6.237 states/eV/cell
Total magnetization = 0.000 μB per atom

Unit cell a=5.843 b=5.843 c=7.921 alpha=90.00 beta=90.00 gamma=90.00
Space group I4/mmm (No. 139)
Asymmetric unit:
1 Sr 0.000 0.500 0.250 (multiplicity 4)
2 Li 0.000 0.000 0.000 (multiplicity 2)
3 Cu 0.000 0.000 0.353 (multiplicity 4)



A plane-wave DFT calculation with meta-GGA SCAN was carried out for a PBEsol-optimized structure of TaFeP.

Values from the calculation:
Density of states at the Fermi level = 2.721 states/eV/cell
Total magnetization = 0.000 μB per atom

Unit cell a=6.057 b=3.556 c=6.866 alpha=90.00 beta=90.00 gamma=90.00
Space group Pnma (No. 62)
Asymmetric unit:
1 Ta 0.022 0.250 0.177 (multiplicity 4)
2 Fe 0.142 0.250 0.563 (multiplicity 4)
3 P 0.222 0.750 0.381 (multiplicity 4)



A plane-wave DFT calculation with meta-GGA SCAN was carried out for a PBEsol-optimized structure of BaCo2.

Values from the calculation:
Density of states at the Fermi level = 7.811 states/eV/cell
Total magnetization = 0.967 μB per atom

Unit cell a=10.669 b=3.885 c=7.696 alpha=90.00 beta=126.62 gamma=90.00
Space group C2/m (No. 12)
Asymmetric unit:
1 Ba 0.062 0.000 0.337 (multiplicity 4)
2 Co 0.132 0.500 0.076 (multiplicity 4)
3 Co 0.248 0.000 0.099 (multiplicity 4)



A plane-wave DFT calculation with meta-GGA SCAN was carried out for a PBEsol-optimized structure of Sr8SnPb3O16.

Values from the calculation:
Density of states at the Fermi level = 0.000 states/eV/cell
Total magnetization = 0.000 μB per atom
E_form (uncorrected) = -2.268 eV/atom

Unit cell a=5.935 b=5.935 c=12.560 alpha=90.00 beta=90.00 gamma=90.00
Space group P4/mmm (No. 123)
Asymmetric unit:
1 Sr 0.000 0.000 0.145 (multiplicity 2)
2 Sr 0.000 0.500 0.357 (multiplicity 4)
3 Sr 0.500 0.500 0.148 (multiplicity 2)
4 Sn 0.500 0.500 0.500 (multiplicity 1)
5 Pb 0.000 0.000 0.500 (multiplicity 1)
6 Pb 0.000 0.500 0.000 (multiplicity 2)
7 O 0.000 0.000 0.331 (multiplicity 2)
8 O 0.000 0.500 0.171 (multiplicity 4)
9 O 0.249 0.249 0.000 (multiplicity 4)
10 O 0.256 0.256 0.500 (multiplicity 4)
11 O 0.500 0.500 0.336 (multiplicity 2)



A plane-wave DFT calculation with meta-GGA SCAN was carried out for a PBEsol-optimized structure of K2ZrBr.

Values from the calculation:
Energy above the lowest structure with this stoichiometry = 0.47 eV per formula unit
Density of states at the Fermi level = 5.817 states/eV/cell
Total magnetization = 0.434 μB per atom
E_form (uncorrected) = 0.043 eV/atom

Unit cell a=3.357 b=4.431 c=20.052 alpha=90.00 beta=90.00 gamma=90.00
Space group Immm (No. 71)
Asymmetric unit:
1 K 0.000 0.000 0.155 (multiplicity 4)
2 Zr 0.000 0.500 0.000 (multiplicity 2)
3 Br 0.000 0.500 0.500 (multiplicity 2)



A plane-wave DFT calculation with meta-GGA SCAN was carried out for a PBEsol-optimized structure of LiLaIO2.

Values from the calculation:
Density of states at the Fermi level = 2.869 states/eV/cell
Total magnetization = 0.200 μB per atom
E_form (uncorrected) = -1.190 eV/atom

Unit cell a=4.334 b=4.334 c=4.497 alpha=90.00 beta=90.00 gamma=90.00
Space group P4/mmm (No. 123)
Asymmetric unit:
1 Li 0.000 0.000 0.000 (multiplicity 1)
2 La 0.500 0.500 0.500 (multiplicity 1)
3 I 0.000 0.000 0.500 (multiplicity 1)
4 O 0.000 0.500 0.000 (multiplicity 2)



A plane-wave DFT calculation with meta-GGA SCAN was carried out for a PBEsol-optimized structure of Li3MnCr2O6.

Values from the calculation:
Total magnetization = 0.833 μB per atom
E_form (uncorrected) = -2.411 eV/atom

Unit cell a=13.012 b=2.885 c=5.764 alpha=90.00 beta=102.41 gamma=90.00
Space group C2/m (No. 12)
Asymmetric unit:
1 Li 0.000 0.000 0.000 (multiplicity 2)
2 Li 0.173 0.500 0.341 (multiplicity 4)
3 Mn 0.000 0.000 0.500 (multiplicity 2)
4 Cr 0.169 0.500 0.832 (multiplicity 4)
5 O 0.012 0.500 0.738 (multiplicity 4)
6 O 0.169 0.000 0.600 (multiplicity 4)
7 O 0.174 0.000 0.071 (multiplicity 4)



A plane-wave DFT calculation with meta-GGA SCAN was carried out for a PBEsol-optimized structure of CrIn2Rh.

Values from the calculation:
Density of states at the Fermi level = 5.972 states/eV/cell
Total magnetization = 0.702 μB per atom

Unit cell a=3.0439 b=3.0439 c=26.5695 alpha=90.00 beta=90.00 gamma=120.00
Space group R3m (No. 160, hexagonal axes)
Asymmetric unit:
1 Cr 0.0000 0.0000 0.0000 (multiplicity 3)
2 In 0.0000 0.0000 0.2493 (multiplicity 3)
3 In 0.0000 0.0000 0.4815 (multiplicity 3)
4 Rh 0.0000 0.0000 0.7327 (multiplicity 3)



A plane-wave DFT calculation with meta-GGA SCAN was carried out for a PBEsol-optimized structure of Cd2InSi.

Values from the calculation:
Density of states at the Fermi level = 1.381 states/eV/cell
Total magnetization = 0.000 μB per atom
E_form (uncorrected) = 0.344 eV/atom

Unit cell a=2.831 b=5.371 c=5.557 alpha=90.00 beta=90.00 gamma=90.00
Space group Pmmm (No. 47)
Asymmetric unit:
1 Cd 0.000 0.000 0.000 (multiplicity 1)
2 Cd 0.500 0.000 0.500 (multiplicity 1)
3 In 0.000 0.500 0.500 (multiplicity 1)
4 Si 0.500 0.500 0.000 (multiplicity 1)



A plane-wave DFT calculation with meta-GGA SCAN was carried out for a PBEsol-optimized structure of SbPPb.

Values from the calculation:
Energy above the lowest structure with this stoichiometry = 0.88 eV per formula unit
Density of states at the Fermi level = 13.594 states/eV/cell
Total magnetization = 0.000 μB per atom
E_form (uncorrected) = 0.582 eV/atom

Unit cell a=6.950 b=6.950 c=6.950 alpha=90.00 beta=90.00 gamma=90.00
Space group F-43m (No. 216)
Asymmetric unit:
1 Sb 0.000 0.000 0.000 (multiplicity 4)
2 P 0.250 0.250 0.250 (multiplicity 4)
3 Pb 0.250 0.250 0.750 (multiplicity 4)



A plane-wave DFT calculation with meta-GGA SCAN was carried out for a PBEsol-optimized structure of YFe4P12.

Values from the calculation:
Density of states at the Fermi level = 13.429 states/eV/cell
Total magnetization = 0.000 μB per atom

Unit cell a=7.695 b=7.695 c=7.695 alpha=90.00 beta=90.00 gamma=90.00
Space group Im-3 (No. 204)
Asymmetric unit:
1 Y 0.000 0.000 0.000 (multiplicity 2)
2 Fe 0.250 0.250 0.250 (multiplicity 8)
3 P 0.000 0.152 0.352 (multiplicity 24)



A plane-wave DFT calculation with meta-GGA SCAN was carried out for a PBEsol-optimized structure of Cr2AgOs.

Values from the calculation:
Density of states at the Fermi level = 2.861 states/eV/cell
Total magnetization = 0.145 μB per atom

Unit cell a=2.687 b=3.671 c=5.467 alpha=90.00 beta=90.00 gamma=90.00
Space group Pmm2 (No. 25)
Asymmetric unit:
1 Cr 0.000 0.000 0.000 (multiplicity 1)
2 Cr 0.500 0.500 0.218 (multiplicity 1)
3 Ag 0.500 0.500 0.724 (multiplicity 1)
4 Os 0.000 0.000 0.421 (multiplicity 1)



A plane-wave DFT calculation with meta-GGA SCAN was carried out for a PBEsol-optimized structure of InFeAg2.

Values from the calculation:
Density of states at the Fermi level = 11.689 states/eV/cell
Total magnetization = 0.695 μB per atom

Unit cell a=6.406 b=6.406 c=6.406 alpha=90.00 beta=90.00 gamma=90.00
Space group F-43m (No. 216)
Asymmetric unit:
1 In 0.000 0.000 0.000 (multiplicity 4)
2 Fe 0.250 0.250 0.750 (multiplicity 4)
3 Ag 0.000 0.000 0.500 (multiplicity 4)
4 Ag 0.250 0.250 0.250 (multiplicity 4)



A plane-wave DFT calculation with meta-GGA SCAN was carried out for a PBEsol-optimized structure of Nb2TcSe2.

Values from the calculation:
Density of states at the Fermi level = 9.544 states/eV/cell
Total magnetization = 0.051 μB per atom
E_form (uncorrected) = 0.363 eV/atom

Unit cell a=3.640 b=3.640 c=13.450 alpha=90.00 beta=90.00 gamma=90.00
Space group I4/mmm (No. 139)
Asymmetric unit:
1 Nb 0.000 0.000 0.103 (multiplicity 4)
2 Tc 0.000 0.000 0.500 (multiplicity 2)
3 Se 0.000 0.500 0.250 (multiplicity 4)



A plane-wave DFT calculation with meta-GGA SCAN was carried out for a PBEsol-optimized structure of LuAl10Re2.

Values from the calculation:
Density of states at the Fermi level = 46.313 states/eV/cell
Total magnetization = 0.000 μB per atom

Unit cell a=9.219 b=10.242 c=26.699 alpha=90.00 beta=90.00 gamma=90.00
Space group Cmcm (No. 63)
Asymmetric unit:
1 Lu 0.000 0.117 0.250 (multiplicity 4)
2 Lu 0.000 0.375 0.085 (multiplicity 8)
3 Al 0.000 0.098 0.134 (multiplicity 8)
4 Al 0.000 0.123 0.022 (multiplicity 8)
5 Al 0.000 0.130 0.678 (multiplicity 8)
6 Al 0.000 0.335 0.534 (multiplicity 8)
7 Al 0.000 0.376 0.645 (multiplicity 8)
8 Al 0.000 0.407 0.200 (multiplicity 8)
9 Al 0.150 0.387 0.750 (multiplicity 8)
10 Al 0.152 0.122 0.581 (multiplicity 16)
11 Al 0.204 0.500 0.000 (multiplicity 8)
12 Al 0.208 0.110 0.750 (multiplicity 8)
13 Al 0.219 0.247 0.171 (multiplicity 16)
14 Al 0.248 0.129 0.083 (multiplicity 16)
15 Re 0.248 0.003 0.663 (multiplicity 16)
16 Re 0.250 0.250 0.000 (multiplicity 8)



A plane-wave DFT calculation with meta-GGA SCAN was carried out for a PBEsol-optimized structure of TaAlRh2.

Values from the calculation:
Density of states at the Fermi level = 5.475 states/eV/cell
Total magnetization = 0.000 μB per atom

Unit cell a=3.723 b=3.723 c=8.406 alpha=90.00 beta=90.00 gamma=90.00
Space group I-4m2 (No. 119)
Asymmetric unit:
1 Ta 0.000 0.000 0.000 (multiplicity 2)
2 Al 0.000 0.500 0.250 (multiplicity 2)
3 Rh 0.000 0.000 0.500 (multiplicity 2)
4 Rh 0.000 0.500 0.750 (multiplicity 2)



A plane-wave DFT calculation with meta-GGA SCAN was carried out for a PBEsol-optimized structure of Si3HW.

Values from the calculation:
Density of states at the Fermi level = 0.533 states/eV/cell
Total magnetization = 0.197 μB per atom

Unit cell a=4.704 b=4.704 c=4.704 alpha=90.00 beta=90.00 gamma=90.00
Space group Pm-3m (No. 221)
Asymmetric unit:
1 Si 0.000 0.000 0.500 (multiplicity 3)
2 H 0.500 0.500 0.500 (multiplicity 1)
3 W 0.000 0.000 0.000 (multiplicity 1)



A plane-wave DFT calculation with meta-GGA SCAN was carried out for a PBEsol-optimized structure of Na2Ta3S6.

Values from the calculation:
Density of states at the Fermi level = 22.146 states/eV/cell
Total magnetization = 0.000 μB per atom
E_form (uncorrected) = -1.324 eV/atom

Unit cell a=5.7670 b=5.7670 c=43.2908 alpha=90.00 beta=90.00 gamma=120.00
Space group R32 (No. 155, hexagonal axes)
Asymmetric unit:
1 Na 0.0000 0.0000 0.0835 (multiplicity 6)
2 Na 0.0000 0.0000 0.4168 (multiplicity 6)
3 Ta 0.0000 0.0000 0.0000 (multiplicity 3)
4 Ta 0.0000 0.0000 0.3333 (multiplicity 6)
5 Ta 0.0001 0.3335 0.1667 (multiplicity 9)
6 S 0.9998 0.6679 0.2024 (multiplicity 18)
7 S 0.0001 0.6683 0.2976 (multiplicity 18)



A plane-wave DFT calculation with meta-GGA SCAN was carried out for a PBEsol-optimized structure of CaMgHg4.

Values from the calculation:
Density of states at the Fermi level = 6.819 states/eV/cell
Total magnetization = 0.000 μB per atom

Unit cell a=8.315 b=8.315 c=8.315 alpha=90.00 beta=90.00 gamma=90.00
Space group F-43m (No. 216)
Asymmetric unit:
1 Ca 0.000 0.000 0.000 (multiplicity 4)
2 Mg 0.250 0.250 0.250 (multiplicity 4)
3 Hg 0.125 0.125 0.625 (multiplicity 16)



Number 1: calculated total energy -48.78 eV per atom, volume 21.45 Å³/atom. Number 2: calculated total energy -28.47 eV per atom, volume 13.74 Å³/atom. Number 3: calculated total energy -15.33 eV per atom, volume 27.05 Å³/atom. Number 4: calculated total energy -32.47 eV per atom, volume 12.32 Å³/atom. Number 5: calculated total energy -24.33 eV per atom, volume 21.34 Å³/atom. Number 6: calculated total energy -21.60 eV per atom, volume 15.80 Å³/atom. Number 7: calculated total energy -16.66 eV per atom, volume 37.28 Å³/atom. Number 8: calculated total energy -20.13 eV per atom, volume 16.89 Å³/atom. Number 9: calculated total energy -10.71 eV per atom, volume 8.81 Å³/atom. Number 10: calculated total energy -29.59 eV per atom, volume 17.77 Å³/atom. Number 11: calculated total energy -25.71 eV per atom, volume 21.12 Å³/atom. Number 12: calculated total energy -40.56 eV per atom, volume 27.98 Å³/atom. Number 13: calculated total energy -13.83 eV per atom, volume 13.40 Å³/atom. Number 14: calculated total energy -34.60 eV per atom, volume 13.48 Å³/atom. Number 15: calculated total energy -28.35 eV per atom, volume 16.43 Å³/atom. Number 16: calculated total energy -27.93 eV per atom, volume 17.82 Å³/atom. Number 17: calculated total energy -21.55 eV per atom, volume 16.16 Å³/atom. Number 18: calculated total energy -36.21 eV per atom, volume 14.57 Å³/atom. Number 19: calculated total energy -19.69 eV per atom, volume 20.82 Å³/atom. Number 20: calculated total energy -25.50 eV per atom, volume 18.89 Å³/atom. Number 21: calculated total energy -48.09 eV per atom, volume 23.96 Å³/atom.